The following is a PBE calculation of a relaxed Na2RhBr2O2 crystal, from the Alexandria database.

The structure in POSCAR format:
```
Na2RhBr2O2
1.0
4.019 0.000 0.000
0.000 4.019 0.000
-2.010 -2.010 8.416
O Br Rh Na
2 2 1 2
direct
0.000 0.500 0.000
0.500 0.000 0.000
0.154 0.154 0.308
0.846 0.846 0.692
0.000 0.000 0.000
0.406 0.406 0.811
0.594 0.594 0.189
```

Energy relative to the elements, uncorrected in eV per formula unit: -7.0
Space-group type: No. 139
Volume in Å³/f.u.: 136

=====

The following is a PBE calculation of a relaxed CoSbAs2 crystal, from the Alexandria database.

The structure in POSCAR format:
```
CoSbAs2
1.0
-0.946 -3.138 1.026
-0.027 -2.597 -2.247
8.176 0.255 2.338
Sb As Co
1 2 1
direct
0.250 0.250 0.250
0.364 0.364 0.599
0.136 0.136 0.901
0.750 0.750 0.750
```

Energy relative to the elements, uncorrected in eV per formula unit: 0.0
Space-group type: No. 12
Volume in Å³/f.u.: 84

=====

The following is a PBE calculation of a relaxed RbNa2Zn crystal, from the Alexandria database.

The structure in POSCAR format:
```
RbNa2Zn
1.0
-0.417 -1.780 -5.123
2.544 -4.565 -1.508
-4.615 -5.629 -0.556
Rb Na Zn
1 2 1
direct
0.494 0.494 0.518
0.293 0.293 0.120
0.022 0.022 0.934
0.690 0.690 0.929
```

Space-group type: No. 160
DFT formation energy in meV/atom: 108
Volume in Å³/f.u.: 169

=====

The following is a PBE calculation of a relaxed Th2InAu crystal, from the Alexandria database.

The structure in POSCAR format:
```
Th2InAu
1.0
4.575 0.000 0.000
0.000 4.817 0.000
0.000 0.000 4.817
In Th Au
1 2 1
direct
0.500 0.500 0.500
0.000 0.000 0.500
0.000 0.500 0.000
0.500 0.000 0.000
```

Distance to the lowest polymorph of the same formula in meV per atom: 60
Space-group type: No. 123
DFT formation energy in meV/atom: -379
Volume in Å³/f.u.: 106